The following is a GGA+U calculation of an optimized crystal structure of Cu3WCl2F6, from the Alexandria database.

abc: 7.925 7.925 4.840
angles: 92.94 92.94 43.45
Fractional coordinates of all 12 atoms:
Cu 0.000 0.000 0.000
Cu 0.000 0.500 0.500
Cu 0.500 0.000 0.500
W 0.500 0.500 0.500
Cl 0.201 0.201 0.202
Cl 0.799 0.799 0.798
F 0.196 0.711 0.246
F 0.289 0.804 0.754
F 0.382 0.382 0.675
F 0.618 0.618 0.325
F 0.711 0.196 0.246
F 0.804 0.289 0.754

Calculated values
Energy, eV per atom: -4.485
Space group: C2/m, No. 12